1.
A relaxed structure of AlV2Ru4, computed with PBE.

Lattice parameters (Å, degrees): 5.892 5.892 5.919 90.00 90.00 90.00
Space group I4/mmm (No. 139)
Inequivalent atoms, fractional coordinates:
Al 0.000 0.000 0.000
V 0.000 0.500 0.000
Ru 0.250 0.250 0.250

Values from the calculation:
As for the density of states at the Fermi level: 5.9 states/eV/f.u. The value obtained for the size of the total moment is 0.0 μB/f.u. The formation energy is -0.0695 eV per atom.

2.
A relaxed structure of Ge2AsS, computed with PBE.

Lattice parameters (Å, degrees): 5.372 5.372 13.872 90.00 90.00 90.00
Space group I-42d (No. 122)
Inequivalent atoms, fractional coordinates:
Ge 0.235 0.250 0.125
As 0.000 0.000 0.500
S 0.000 0.000 0.000

Values from the calculation:
As for the density of states at the Fermi level: 1.0 states/eV/f.u. The value obtained for the size of the total moment is 0.0 μB/f.u. The energy above the lowest structure with this stoichiometry is 0.597 eV per formula unit. The raw formation energy is 0.6 eV/f.u.

3.
A relaxed structure of Ca2GaGePt6, computed with PBE.

Lattice parameters (Å, degrees): 9.451 9.451 9.451 90.00 90.00 90.00
Space group Fm-3m (No. 225)
Inequivalent atoms, fractional coordinates:
Ca 0.250 0.250 0.250
Ga 0.000 0.000 0.000
Ge 0.000 0.000 0.500
Pt 0.000 0.000 0.251

Values from the calculation:
As for the density of states at the Fermi level: 6.5 states/eV/f.u. The value obtained for the size of the total moment is 0.0 μB/f.u. The formation energy is -0.2976 eV per atom.

4.
A relaxed structure of LiErMg, computed with PBE.

Lattice parameters (Å, degrees): 3.474 12.133 3.475 90.00 90.00 90.00
Space group Pmn2_1 (No. 31)
Inequivalent atoms, fractional coordinates:
Li 0.000 0.069 0.000
Er 0.000 0.399 0.998
Mg 0.000 0.789 0.997

Values from the calculation:
As for the density of states at the Fermi level: 2.9 states/eV/f.u. The value obtained for the size of the total moment is 0.0 μB/f.u. The energy above the lowest structure with this stoichiometry is 0.000 eV per formula unit. The formation energy is -0.0315 eV per atom.

5.
A relaxed structure of Fe3CoH3, computed with PBE.

Lattice parameters (Å, degrees): 3.690 3.690 7.508 90.00 90.00 90.00
Space group P4/nmm (No. 129, origin choice 2)
Inequivalent atoms, fractional coordinates:
Fe 0.250 0.250 0.245
Fe 0.250 0.750 0.000
Fe 0.250 0.750 0.500
Co 0.250 0.250 0.753
H 0.250 0.250 0.499
H 0.250 0.750 0.250

Values from the calculation:
As for the density of states at the Fermi level: 4.9 states/eV/f.u. The value obtained for the size of the total moment is 8.0 μB/f.u. The calculation puts the calculated total energy at -85.00 eV per cell.

6.
A relaxed structure of YHo3Tl4Se8, computed with PBE.

Lattice parameters (Å, degrees): 8.3484 8.3484 23.3240 90.00 90.00 120.00
Space group R-3m (No. 166, hexagonal axes)
Inequivalent atoms, fractional coordinates:
Y 0.0000 0.0000 0.0000
Ho 0.0000 0.5000 0.0000
Tl 0.0000 0.0000 0.5000
Tl 0.0000 0.5000 0.5000
Se 0.0000 0.0000 0.2656
Se 0.0013 0.5007 0.2654

Values from the calculation:
The value obtained for the size of the total moment is 0.0 μB/f.u. The raw formation energy is -22.2 eV/f.u.

7.
A relaxed structure of Ca2ScInC, computed with PBE.

Lattice parameters (Å, degrees): 5.135 5.135 4.499 90.00 90.00 90.00
Space group P4/mmm (No. 123)
Inequivalent atoms, fractional coordinates:
Ca 0.000 0.500 0.000
Sc 0.000 0.000 0.500
In 0.500 0.500 0.500
C 0.000 0.000 0.000

Values from the calculation:
As for the density of states at the Fermi level: 6.0 states/eV/f.u. The value obtained for the size of the total moment is 0.0 μB/f.u. The formation energy is -0.1768 eV per atom.

8.
A relaxed structure of Cs5Au4Br, computed with PBE.

Lattice parameters (Å, degrees): 5.234 7.389 26.135 90.00 90.00 90.00
Space group Immm (No. 71)
Inequivalent atoms, fractional coordinates:
Cs 0.000 0.000 0.000
Cs 0.000 0.000 0.201
Cs 0.000 0.000 0.401
Au 0.000 0.500 0.200
Au 0.000 0.500 0.400
Br 0.000 0.500 0.000

Values from the calculation:
As for the density of states at the Fermi level: 0.0 states/eV/f.u. The value obtained for the size of the total moment is 0.0 μB/f.u. The raw formation energy is -6.1 eV/f.u.

9.
A relaxed structure of LiTmCdNi, computed with PBE.

Lattice parameters (Å, degrees): 6.589 6.589 6.589 90.00 90.00 90.00
Space group F-43m (No. 216)
Inequivalent atoms, fractional coordinates:
Li 0.000 0.000 0.000
Tm 0.250 0.250 0.750
Cd 0.250 0.250 0.250
Ni 0.000 0.000 0.500

Values from the calculation:
As for the density of states at the Fermi level: 4.7 states/eV/f.u. The value obtained for the size of the total moment is 0.0 μB/f.u. The formation energy is -0.2091 eV per atom.

10.
A relaxed structure of Tl10In6Pb, computed with PBE.

Lattice parameters (Å, degrees): 9.4681 9.4681 6.6651 90.00 90.00 120.00
Space group P-31m (No. 162)
Inequivalent atoms, fractional coordinates:
Tl 0.0000 0.3028 0.3294
Tl 0.3333 0.6667 0.0000
Tl 0.3333 0.6667 0.5000
In 0.0000 0.3487 0.8270
Pb 0.0000 0.0000 0.0000

Values from the calculation:
As for the density of states at the Fermi level: 10.1 states/eV/f.u. The value obtained for the size of the total moment is 0.0 μB/f.u. The formation energy is 0.0390 eV per atom.

11.
A relaxed structure of BaAc4Tl4, computed with PBE.

Lattice parameters (Å, degrees): 10.488 10.488 6.325 90.00 90.00 90.00
Space group P4_2/n (No. 86, origin choice 2)
Inequivalent atoms, fractional coordinates:
Ba 0.250 0.250 0.250
Ac 0.094 0.840 0.640
Tl 0.042 0.140 0.855

Values from the calculation:
As for the density of states at the Fermi level: 9.3 states/eV/f.u. The value obtained for the size of the total moment is 0.0 μB/f.u. The formation energy is -0.1720 eV per atom.

12.
A relaxed structure of AcAg2Hg2, computed with PBE.

Lattice parameters (Å, degrees): 6.391 8.402 9.831 90.00 90.00 90.00
Space group Fmmm (No. 69)
Inequivalent atoms, fractional coordinates:
Ac 0.000 0.000 0.000
Ag 0.250 0.250 0.250
Hg 0.000 0.000 0.356

Values from the calculation:
As for the density of states at the Fermi level: 2.9 states/eV/f.u. The value obtained for the size of the total moment is 0.0 μB/f.u. The energy above the lowest structure with this stoichiometry is 0.197 eV per formula unit. The formation energy is -0.2122 eV per atom.

13.
A relaxed structure of Pr4CoSe2Cl, computed with PBE.

Lattice parameters (Å, degrees): 7.393 4.068 7.434 90.00 108.51 90.00
Space group P2/m (No. 10)
Inequivalent atoms, fractional coordinates:
Pr 0.221 0.000 0.223
Pr 0.237 0.500 0.753
Co 0.000 0.500 0.000
Se 0.000 0.000 0.500
Se 0.500 0.500 0.500
Cl 0.500 0.000 0.000

Values from the calculation:
As for the density of states at the Fermi level: 6.1 states/eV/f.u. The value obtained for the size of the total moment is 0.0 μB/f.u. The raw formation energy is -10.2 eV/f.u.

14.
A relaxed structure of Na2InGe2, computed with PBE.

Lattice parameters (Å, degrees): 11.318 4.645 10.897 90.00 119.46 90.00
Space group C2/m (No. 12)
Inequivalent atoms, fractional coordinates:
Na 0.021 0.000 0.200
Na 0.189 0.000 0.601
In 0.212 0.500 0.849
Ge 0.028 0.500 0.405
Ge 0.127 0.500 0.052

Values from the calculation:
As for the density of states at the Fermi level: 1.7 states/eV/f.u. The value obtained for the size of the total moment is 0.0 μB/f.u. The energy above the lowest structure with this stoichiometry is 0.000 eV per formula unit. The formation energy is -0.1071 eV per atom.

15.
A relaxed structure of Nb2InOs2, computed with PBE.

Lattice parameters (Å, degrees): 7.632 7.632 3.064 90.00 90.00 90.00
Space group P4/mbm (No. 127)
Inequivalent atoms, fractional coordinates:
Nb 0.160 0.340 0.000
In 0.000 0.000 0.500
Os 0.133 0.633 0.500

Values from the calculation:
As for the density of states at the Fermi level: 4.0 states/eV/f.u. The value obtained for the size of the total moment is 0.0 μB/f.u. The energy above the lowest structure with this stoichiometry is 0.000 eV per formula unit. The formation energy is -0.0134 eV per atom.

16.
A relaxed structure of Ca4YIn, computed with PBE.

Lattice parameters (Å, degrees): 9.574 9.574 9.574 90.00 90.00 90.00
Space group F-43m (No. 216)
Inequivalent atoms, fractional coordinates:
Ca 0.125 0.125 0.125
Y 0.000 0.000 0.500
In 0.250 0.250 0.750

Values from the calculation:
As for the density of states at the Fermi level: 8.8 states/eV/f.u. The value obtained for the size of the total moment is 1.6 μB/f.u. The formation energy is 0.2589 eV per atom.

17.
A relaxed structure of TaBeCuRh, computed with PBE.

Lattice parameters (Å, degrees): 6.022 6.022 6.022 90.00 90.00 90.00
Space group F-43m (No. 216)
Inequivalent atoms, fractional coordinates:
Ta 0.000 0.000 0.000
Be 0.000 0.000 0.500
Cu 0.250 0.250 0.250
Rh 0.250 0.250 0.750

Values from the calculation:
As for the density of states at the Fermi level: 4.6 states/eV/f.u. The value obtained for the size of the total moment is 0.0 μB/f.u. The formation energy is -0.1503 eV per atom.

18.
A relaxed structure of NaHoPb4, computed with PBE.

Lattice parameters (Å, degrees): 9.129 9.129 9.129 90.00 90.00 90.00
Space group F-43m (No. 216)
Inequivalent atoms, fractional coordinates:
Na 0.000 0.000 0.000
Ho 0.250 0.250 0.750
Pb 0.124 0.124 0.376

Values from the calculation:
As for the density of states at the Fermi level: 4.7 states/eV/f.u. The value obtained for the size of the total moment is 0.0 μB/f.u. The energy above the lowest structure with this stoichiometry is 0.544 eV per formula unit. The formation energy is -0.0669 eV per atom.

19.
A relaxed structure of Mg2CuPd2, computed with PBE.

Lattice parameters (Å, degrees): 7.413 7.413 2.990 90.00 90.00 90.00
Space group P4/mbm (No. 127)
Inequivalent atoms, fractional coordinates:
Mg 0.146 0.354 0.000
Cu 0.000 0.000 0.000
Pd 0.153 0.653 0.500

Values from the calculation:
As for the density of states at the Fermi level: 1.5 states/eV/f.u. The value obtained for the size of the total moment is 0.0 μB/f.u. The energy above the lowest structure with this stoichiometry is 0.604 eV per formula unit. The formation energy is -0.3157 eV per atom.

20.
A relaxed structure of HoGa4Cu, computed with PBE.

Lattice parameters (Å, degrees): 3.481 3.503 9.195 89.31 89.39 80.73
Space group P-1 (No. 2)
Inequivalent atoms, fractional coordinates:
Ho 0.000 0.000 0.000
Ga 0.034 0.034 0.642
Ga 0.494 0.492 0.211
Cu 0.500 0.500 0.500

Values from the calculation:
As for the density of states at the Fermi level: 2.6 states/eV/f.u. The value obtained for the size of the total moment is 0.0 μB/f.u. The formation energy is -0.2203 eV per atom.